1.
Below is SrMg2Cr at its PBEsol-relaxed geometry, with properties calculated at the meta-GGA SCAN level.

Values from the calculation:
total moment = 4.567 μB/cell
E_form = 0.189 eV per atom

Cell and atoms, written as POSCAR:
```
SrMg2Cr
1.0
-0.8833 -2.2058 -2.7854
2.3689 -2.5048 1.2323
-5.6647 -3.2194 4.3458
Mg Sr Cr
2 1 1
Direct
0.0000 0.0000 0.9749
0.5000 0.5000 0.1980
0.0000 0.0000 0.5210
0.5000 0.5000 0.8062
```

***

2.
Below is La2CdIr at its PBEsol-relaxed geometry, with properties calculated at the meta-GGA SCAN level.

Values from the calculation:
total moment = 0.000 μB/cell
E_form = -0.635 eV per atom

Cell and atoms, written as POSCAR:
```
La2CdIr
1.0
4.1115 0.0000 0.0000
2.0558 3.5607 0.0000
2.0558 1.1869 8.0421
Ir La Cd
1 2 1
Direct
0.5000 0.5000 0.5000
0.7684 0.7684 0.6949
0.2316 0.2316 0.3051
0.0000 0.0000 0.0000
```

***

3.
Below is CaCu2Ni at its PBEsol-relaxed geometry, with properties calculated at the meta-GGA SCAN level.

Values from the calculation:
total moment = 0.000 μB/cell
E_form = -0.063 eV per atom

Cell and atoms, written as POSCAR:
```
CaCu2Ni
1.0
4.0545 0.0000 0.0000
2.0272 3.5113 0.0000
2.0272 1.1704 4.7516
Ni Cu Ca
1 2 1
Direct
0.0000 0.0000 0.0000
0.3059 0.3059 0.0824
0.6941 0.6941 0.9176
0.5000 0.5000 0.5000
```

***

4.
Below is LaMg2Si2 at its PBEsol-relaxed geometry, with properties calculated at the meta-GGA SCAN level.

Values from the calculation:
raw formation energy = -0.5142 eV/atom
total moment = 0.001 μB/cell

Cell and atoms, written as POSCAR:
```
LaMg2Si2
1.0
-1.8934 -0.7629 -3.7520
3.7521 -1.2032 -1.6488
-1.0337 -5.4590 1.6315
Si Mg La
2 2 1
Direct
0.5000 0.5000 0.8011
0.5000 0.5000 0.1989
0.5000 0.0000 0.5000
0.0000 0.5000 0.5000
0.0000 0.0000 0.0000
```

***

5.
Below is Ba2LiTa2 at its PBEsol-relaxed geometry, with properties calculated at the meta-GGA SCAN level.

Values from the calculation:
total moment = 0.000 μB/cell
E_form = 1.247 eV per atom

Cell and atoms, written as POSCAR:
```
Ba2LiTa2
1.0
-3.9711 2.3079 3.9934
-2.3221 -3.7653 -4.1801
4.1383 -3.8342 2.2840
Ta Ba Li
2 2 1
Direct
0.0000 0.3620 0.3620
0.0000 0.6380 0.6380
0.5000 0.2500 0.7500
0.5000 0.7500 0.2500
0.0000 0.0000 0.0000
```

***

6.
Below is SrLiAs at its PBEsol-relaxed geometry, with properties calculated at the meta-GGA SCAN level.

Values from the calculation:
total moment = 0.000 μB/cell
E_form = -0.763 eV per atom

Cell and atoms, written as POSCAR:
```
SrLiAs
1.0
4.2027 0.0434 -0.0001
-0.0413 4.2027 -0.0002
-2.0808 -2.1237 4.1835
Li Sr As
1 1 1
Direct
0.6743 0.6743 0.3488
0.3435 0.3435 0.6870
0.9821 0.9822 0.9642
```

***

7.
Below is LaIrPt at its PBEsol-relaxed geometry, with properties calculated at the meta-GGA SCAN level.

Values from the calculation:
total moment = 0.000 μB/cell
E_form = -1.007 eV per atom

Cell and atoms, written as POSCAR:
```
LaIrPt
1.0
4.0128 0.0000 0.0000
0.0000 4.3394 0.0000
0.0000 -2.1697 3.7580
Pt La Ir
1 1 1
Direct
0.5000 0.3333 0.6667
0.0000 0.6667 0.3333
0.5000 0.0000 0.0000
```

***

8.
Below is ScCd2 at its PBEsol-relaxed geometry, with properties calculated at the meta-GGA SCAN level.

Values from the calculation:
total moment = 0.000 μB/cell
E_form = -0.282 eV per atom

Cell and atoms, written as POSCAR:
```
ScCd2
1.0
4.3679 0.0000 0.0000
0.0000 4.3679 0.0000
-2.1840 -2.1840 13.0154
Cd Sc
8 4
Direct
0.5849 0.5849 0.1699
0.8349 0.3349 0.6699
0.2485 0.2485 0.4970
0.6651 0.1651 0.3301
0.4151 0.4151 0.8301
0.0015 0.5015 0.0030
0.7515 0.7515 0.5030
0.4985 0.9985 0.9970
0.9181 0.9181 0.8362
0.0819 0.0819 0.1638
0.3319 0.8319 0.6638
0.1681 0.6681 0.3362
```

***

9.
Below is Rb3AsF6 at its PBEsol-relaxed geometry, with properties calculated at the meta-GGA SCAN level.

Values from the calculation:
raw formation energy = -2.6007 eV/atom
total moment = 0.000 μB/cell

Cell and atoms, written as POSCAR:
```
Rb3AsF6
1.0
6.5630 0.0000 0.0000
3.2815 5.6837 0.0000
3.2815 1.8946 5.3587
F Rb As
6 3 1
Direct
0.7795 0.2205 0.2205
0.2205 0.7795 0.7795
0.7795 0.7795 0.2205
0.2205 0.7795 0.2205
0.2205 0.2205 0.7795
0.7795 0.2205 0.7795
0.5000 0.5000 0.5000
0.2500 0.2500 0.2500
0.7500 0.7500 0.7500
0.0000 0.0000 0.0000
```

***

10.
Below is TePtPb at its PBEsol-relaxed geometry, with properties calculated at the meta-GGA SCAN level.

Values from the calculation:
raw formation energy = -0.0328 eV/atom
total moment = 0.000 μB/cell

Cell and atoms, written as POSCAR:
```
TePtPb
1.0
-0.2686 2.5162 -1.9291
-2.3042 -1.8582 -2.1029
-3.4258 1.7310 5.3589
Pt Te Pb
1 1 1
Direct
0.6787 0.6787 0.3574
0.2961 0.2961 0.5921
0.0253 0.0253 0.0505
```

***

11.
Below is MgZnCd2 at its PBEsol-relaxed geometry, with properties calculated at the meta-GGA SCAN level.

Values from the calculation:
total moment = 0.000 μB/cell
E_form = 0.007 eV per atom

Cell and atoms, written as POSCAR:
```
MgZnCd2
1.0
-1.4988 1.0630 -2.5214
-0.0890 -1.7190 -2.6021
-8.3474 -4.2661 1.2334
Mg Cd Zn
1 2 1
Direct
0.5047 0.5047 0.4859
0.7507 0.7507 0.7480
0.9951 0.9951 0.0147
0.2496 0.2496 0.2513
```

***

12.
Below is Ba2LaHfCo at its PBEsol-relaxed geometry, with properties calculated at the meta-GGA SCAN level.

Values from the calculation:
total moment = 0.878 μB/cell
E_form = 0.859 eV per atom

Cell and atoms, written as POSCAR:
```
Ba2LaHfCo
1.0
4.4270 0.0000 0.0000
0.0000 6.2894 0.0000
0.0000 0.0000 6.2894
Co La Ba Hf
1 1 2 1
Direct
0.5000 0.0000 0.0000
0.5000 0.5000 0.5000
0.0000 0.0000 0.5000
0.0000 0.5000 0.0000
0.0000 0.0000 0.0000
```

***

13.
Below is TeAsIr3 at its PBEsol-relaxed geometry, with properties calculated at the meta-GGA SCAN level.

Values from the calculation:
raw formation energy = 1.1565 eV/atom
total moment = 0.601 μB/cell

Cell and atoms, written as POSCAR:
```
TeAsIr3
1.0
4.5761 0.0000 0.0000
0.0000 4.5761 0.0000
0.0000 0.0000 4.5761
As Ir Te
1 3 1
Direct
0.0000 0.0000 0.0000
0.5000 0.0000 0.0000
0.0000 0.0000 0.5000
0.0000 0.5000 0.0000
0.5000 0.5000 0.5000
```

***

14.
Below is HoNiSb at its PBEsol-relaxed geometry, with properties calculated at the meta-GGA SCAN level.

Values from the calculation:
raw formation energy = -1.0209 eV/atom
total moment = 0.000 μB/cell

Cell and atoms, written as POSCAR:
```
HoNiSb
1.0
-0.6676 3.2595 -2.8940
0.2440 -0.8097 -4.3278
-3.6582 0.0479 -2.4617
Ho Sb Ni
1 1 1
Direct
0.5000 0.5000 0.5000
0.0000 0.0000 0.0000
0.2500 0.2500 0.2500
```

***

15.
Below is BiSb2TeS at its PBEsol-relaxed geometry, with properties calculated at the meta-GGA SCAN level.

Values from the calculation:
raw formation energy = 1.2353 eV/atom
total moment = 0.802 μB/cell

Cell and atoms, written as POSCAR:
```
BiSb2TeS
1.0
5.6621 0.0000 0.0000
0.0000 5.7955 0.0000
0.0000 0.0000 5.7955
Bi Te Sb S
1 1 2 1
Direct
0.0000 0.0000 0.0000
0.5000 0.0000 0.0000
0.0000 0.5000 0.0000
0.0000 0.0000 0.5000
0.5000 0.5000 0.5000
```

***

16.
Below is GeHSe2 at its PBEsol-relaxed geometry, with properties calculated at the meta-GGA SCAN level.

Values from the calculation:
E_tot = -15.617 eV/atom
total moment = 0.000 μB/cell

Cell and atoms, written as POSCAR:
```
GeHSe2
1.0
3.8371 0.0000 0.0000
1.9185 3.3230 0.0000
1.9185 1.1077 6.4097
Ge Se H
1 2 1
Direct
0.5000 0.5000 0.5000
0.0907 0.0907 0.7278
0.9093 0.9093 0.2722
0.0000 0.0000 0.0000
```

***

17.
Below is PS2ClF at its PBEsol-relaxed geometry, with properties calculated at the meta-GGA SCAN level.

Values from the calculation:
raw formation energy = 1.3359 eV/atom
total moment = 0.493 μB/cell

Cell and atoms, written as POSCAR:
```
PS2ClF
1.0
-3.4550 -1.5295 -2.4912
-0.1500 -3.7590 2.5159
-2.9898 2.0516 2.8870
P S Cl F
1 2 1 1
Direct
0.0000 0.0000 0.5000
0.5000 0.0000 0.0000
0.0000 0.5000 0.0000
0.0000 0.0000 0.0000
0.5000 0.5000 0.5000
```

***

18.
Below is BaYP2Br at its PBEsol-relaxed geometry, with properties calculated at the meta-GGA SCAN level.

Values from the calculation:
raw formation energy = 0.4281 eV/atom
total moment = 1.288 μB/cell

Cell and atoms, written as POSCAR:
```
BaYP2Br
1.0
-1.2310 -1.0067 4.9485
-1.2744 -4.8666 -1.3070
5.1765 -1.6132 0.9595
Y P Ba Br
1 2 1 1
Direct
0.5000 0.5000 0.5000
0.5000 0.0000 0.0000
0.0000 0.5000 0.0000
0.0000 0.0000 0.5000
0.0000 0.0000 0.0000
```

***

19.
Below is AlZn at its PBEsol-relaxed geometry, with properties calculated at the meta-GGA SCAN level.

Values from the calculation:
total moment = 0.005 μB/cell
E_form = 0.002 eV per atom

Cell and atoms, written as POSCAR:
```
AlZn
1.0
-1.8082 -1.9261 0.9459
-0.4066 -0.9070 -2.6241
2.9136 -2.5279 0.4223
Zn Al
1 1
Direct
0.5000 0.5000 0.5000
0.0000 0.0000 0.0000
```

***

20.
Below is AlBTe2 at its PBEsol-relaxed geometry, with properties calculated at the meta-GGA SCAN level.

Values from the calculation:
raw formation energy = 0.6218 eV/atom
total moment = 0.001 μB/cell

Cell and atoms, written as POSCAR:
```
AlBTe2
1.0
-3.5230 2.3880 -0.1297
-3.4901 -1.2385 2.1015
-0.1113 3.9840 6.4770
Te B Al
2 1 1
Direct
0.0946 0.0946 0.7161
0.9054 0.9054 0.2839
0.0000 0.0000 0.0000
0.5000 0.5000 0.5000
```